[1]
Entry from Alexandria via LeMat-Bulk: a geometry-optimized Ti2NiPd5 structure (PBE).

It has space group Pbam (No. 55), with a = 5.506 Å, b = 10.981 Å, c = 3.880 Å, α = 90.00°, β = 90.00° and γ = 90.00°. Symmetry generates all atoms from Ti at (0.244, 0.121, 0.000), Ni at (0.000, 0.000, 0.500), Pd at (0.000, 0.500, 0.500), Pd at (0.011, 0.246, 0.500) and Pd at (0.238, 0.880, 0.000).

Its crystal system is orthorhombic. The energy relative to the elements comes out at -0.589 eV per atom.

[2]
Entry from Alexandria via LeMat-Bulk: a geometry-optimized Ti4NiPd2 structure (PBE).

It has space group Cmmm (No. 65), with a = 4.170 Å, b = 14.037 Å, c = 4.256 Å, α = 90.00°, β = 90.00° and γ = 90.00°. Symmetry generates all atoms from Ti at (0.000, 0.181, 0.000), Ti at (0.000, 0.314, 0.500), Ni at (0.000, 0.500, 0.000) and Pd at (0.000, 0.087, 0.500).

Its crystal system is orthorhombic. The energy relative to the elements comes out at 0.003 eV per atom.

[3]
Entry from Alexandria via LeMat-Bulk: a geometry-optimized Ti4Ni2Pd3 structure (PBE).

It has space group C2/m (No. 12), with a = 8.616 Å, b = 3.815 Å, c = 8.352 Å, α = 90.00°, β = 104.60° and γ = 90.00°. Symmetry generates all atoms from Ti at (0.023, 0.000, 0.332), Ti at (0.171, 0.500, 0.886), Ni at (0.167, 0.500, 0.211), Pd at (0.000, 0.000, 0.000) and Pd at (0.163, 0.500, 0.563).

Its crystal system is monoclinic. The energy relative to the elements comes out at -0.442 eV per atom.

[4]
Entry from Alexandria via LeMat-Bulk: a geometry-optimized TiNi2Pd2 structure (PBE).

It has space group P4/mbm (No. 127), with a = 6.131 Å, b = 6.131 Å, c = 3.739 Å, α = 90.00°, β = 90.00° and γ = 90.00°. Symmetry generates all atoms from Ti at (0.000, 0.000, 0.000), Ni at (0.134, 0.366, 0.000) and Pd at (0.165, 0.665, 0.500).

The distance to the lowest polymorph of the same formula is 0 meV/atom. Its crystal system is tetragonal. The energy relative to the elements comes out at -0.220 eV per atom.

[5]
Entry from Alexandria via LeMat-Bulk: a geometry-optimized TiNiPd structure (PBE).

It has space group P3m1 (No. 156), with a = 4.2339 Å, b = 4.2339 Å, c = 2.7114 Å, α = 90.00°, β = 90.00° and γ = 120.00°. Symmetry generates all atoms from Ti at (0.0000, 0.0000, 0.0000), Ni at (0.6667, 0.3333, 0.2257) and Pd at (0.3333, 0.6667, 0.6283).

The distance to the lowest polymorph of the same formula is 137 meV/atom. Its crystal system is trigonal. The energy relative to the elements comes out at -0.387 eV per atom.

[6]
Entry from Alexandria via LeMat-Bulk: a geometry-optimized Ti3Ni5Pd structure (PBE).

It has space group I4/mcm (No. 140), with a = 7.046 Å, b = 7.046 Å, c = 10.067 Å, α = 90.00°, β = 90.00° and γ = 90.00°. Symmetry generates all atoms from Ti at (0.000, 0.000, 0.250), Ti at (0.118, 0.382, 0.000), Ni at (0.000, 0.000, 0.000), Ni at (0.210, 0.290, 0.369) and Pd at (0.000, 0.500, 0.250).

Its crystal system is tetragonal. The energy relative to the elements comes out at -0.018 eV per atom.

[7]
Entry from Alexandria via LeMat-Bulk: a geometry-optimized Ti6NiPd3 structure (PBE).

It has space group C2/m (No. 12), with a = 9.261 Å, b = 5.180 Å, c = 7.025 Å, α = 90.00°, β = 107.40° and γ = 90.00°. Symmetry generates all atoms from Ti at (0.145, 0.000, 0.418), Ti at (0.145, 0.247, 0.812), Ni at (0.000, 0.000, 0.000), Pd at (0.000, 0.500, 0.500) and Pd at (0.113, 0.500, 0.183).

Its crystal system is monoclinic. The energy relative to the elements comes out at -0.247 eV per atom.

[8]
Entry from Alexandria via LeMat-Bulk: a geometry-optimized Ti7NiPd4 structure (PBE).

It has space group P-3m1 (No. 164), with a = 4.4050 Å, b = 4.4050 Å, c = 11.3126 Å, α = 90.00°, β = 90.00° and γ = 120.00°. Symmetry generates all atoms from Ti at (0.0000, 0.0000, 0.0000), Ti at (0.0000, 0.0000, 0.2669), Ti at (0.3333, 0.6667, 0.1578), Ti at (0.3333, 0.6667, 0.4228), Ni at (0.0000, 0.0000, 0.5000), Pd at (0.3333, 0.6667, 0.6627) and Pd at (0.3333, 0.6667, 0.9056).

Its crystal system is trigonal. The energy relative to the elements comes out at -0.331 eV per atom.

[9]
Entry from Alexandria via LeMat-Bulk: a geometry-optimized TiNi2Pd structure (PBE).

It has space group I-42d (No. 122), with a = 6.639 Å, b = 6.639 Å, c = 5.120 Å, α = 90.00°, β = 90.00° and γ = 90.00°. Symmetry generates all atoms from Ti at (0.000, 0.000, 0.000), Ni at (0.232, 0.250, 0.125) and Pd at (0.000, 0.000, 0.500).

Its crystal system is tetragonal. The energy relative to the elements comes out at -0.044 eV per atom.

[10]
Entry from Alexandria via LeMat-Bulk: a geometry-optimized Ti2NiPd8 structure (PBE).

It has space group C2/m (No. 12), with a = 13.901 Å, b = 4.008 Å, c = 6.258 Å, α = 90.00°, β = 107.64° and γ = 90.00°. Symmetry generates all atoms from Ti at (0.217, 0.000, 0.161), Ni at (0.000, 0.500, 0.500), Pd at (0.042, 0.000, 0.235), Pd at (0.099, 0.500, 0.949), Pd at (0.148, 0.000, 0.704) and Pd at (0.176, 0.500, 0.414).

The distance to the lowest polymorph of the same formula is 0 meV/atom. Its crystal system is monoclinic. The energy relative to the elements comes out at -0.396 eV per atom.

[11]
Entry from Alexandria via LeMat-Bulk: a geometry-optimized Ti2NiPd2 structure (PBE).

It has space group P4/mbm (No. 127), with a = 7.251 Å, b = 7.251 Å, c = 3.029 Å, α = 90.00°, β = 90.00° and γ = 90.00°. Symmetry generates all atoms from Ti at (0.164, 0.336, 0.000), Ni at (0.000, 0.000, 0.000) and Pd at (0.136, 0.636, 0.500).

The distance to the lowest polymorph of the same formula is 258 meV/atom. Its crystal system is tetragonal. The energy relative to the elements comes out at -0.178 eV per atom.

[12]
Entry from Alexandria via LeMat-Bulk: a geometry-optimized TiNi2Pd7 structure (PBE).

It has space group Cmmm (No. 65), with a = 7.209 Å, b = 12.214 Å, c = 4.169 Å, α = 90.00°, β = 90.00° and γ = 90.00°. Symmetry generates all atoms from Ti at (0.000, 0.000, 0.000), Ni at (0.000, 0.304, 0.500), Pd at (0.000, 0.208, 0.000), Pd at (0.000, 0.500, 0.500) and Pd at (0.186, 0.113, 0.500).

Its crystal system is orthorhombic. The energy relative to the elements comes out at 0.282 eV per atom.

The highest energy relative to the elements belongs to which entry?
TiNi2Pd7